# RbYS3 meta-GGA SCAN PBEsol geometry
data_RbYS3
_symmetry_space_group_name_H-M 'P m -3 m'
_symmetry_Int_Tables_number 221
_symmetry_space_group_name_Hall '-P 4 2 3'
_cell_length_a 5.127
_cell_length_b 5.127
_cell_length_c 5.127
_cell_angle_alpha 90.00
_cell_angle_beta 90.00
_cell_angle_gamma 90.00
loop_
_atom_site_label
_atom_site_type_symbol
_atom_site_fract_x
_atom_site_fract_y
_atom_site_fract_z
Rb1 Rb 0.000 0.000 0.000
Y1 Y 0.500 0.500 0.500
S1 S 0.000 0.000 0.500
# Energy (eV/atom): -15.17
# E_form (uncorrected) (eV/f.u.): 1.61